A plane-wave DFT calculation with PBE was carried out for crystalline Ac3La12Zn at its relaxed geometry.

Output
Space-group type: P4/mmm (123)
Crystal system: tetragonal
ΔE_f, kJ per mole of atoms: 0.7

a b c (Å): 5.2879 5.2879 20.8738
angles (deg): 90.00 90.00 90.00
With the nearest neighbours (Å) after each atom.
Element x y z (fractional)
Ac 0.0000 0.0000 0.0000  12 La 3.74-3.79
Ac 0.0000 0.0000 0.2606  12 La 3.74-3.80
Ac 0.0000 0.0000 0.7394  12 La 3.74-3.80
La 0.0000 0.5000 0.1298  8 La 3.74-3.81, 4 Ac 3.79-3.80
La 0.0000 0.5000 0.3874  8 La 3.54-3.74, 2 Zn 3.54, 2 Ac 3.74
La 0.0000 0.5000 0.6126  8 La 3.54-3.74, 2 Zn 3.54, 2 Ac 3.74
La 0.0000 0.5000 0.8702  8 La 3.74-3.81, 4 Ac 3.79-3.80
La 0.5000 0.0000 0.1298  8 La 3.74-3.81, 4 Ac 3.79-3.80
La 0.5000 0.0000 0.3874  8 La 3.54-3.74, 2 Zn 3.54, 2 Ac 3.74
La 0.5000 0.0000 0.6126  8 La 3.54-3.74, 2 Zn 3.54, 2 Ac 3.74
La 0.5000 0.0000 0.8702  8 La 3.74-3.81, 4 Ac 3.79-3.80
La 0.5000 0.5000 0.0000  4 Ac 3.74, 8 La 3.79
La 0.5000 0.5000 0.2613  8 La 3.73-3.81, 4 Ac 3.74
La 0.5000 0.5000 0.5000  8 La 3.54, 4 Zn 3.74
La 0.5000 0.5000 0.7387  8 La 3.73-3.81, 4 Ac 3.74
Zn 0.0000 0.0000 0.5000  12 La 3.54-3.74

A plane-wave DFT calculation with PBE was carried out for crystalline Ac2LaZn2 at its relaxed geometry.

Output
Space-group type: P2_1/m (11)
Crystal system: monoclinic
ΔE_f, kJ per mole of atoms: -9.8
ΔE to the lowest computed polymorph, meV/atom: 53

a b c (Å): 5.0140 4.6360 14.0621
angles (deg): 90.00 99.80 90.00
With the nearest neighbours (Å) after each atom.
Element x y z (fractional)
Ac 0.0540 0.2500 0.1120  3 Zn 3.13-3.32
Ac 0.2638 0.7500 0.5295  2 Zn 3.11
Ac 0.7362 0.2500 0.4705  2 Zn 3.11
Ac 0.9460 0.7500 0.8880  3 Zn 3.13-3.32
La 0.3671 0.2500 0.7334  1 Zn 3.07
La 0.6329 0.7500 0.2666  1 Zn 3.07
Zn 0.1723 0.2500 0.3379  3 Ac 3.11-3.13
Zn 0.4789 0.2500 0.9552  2 Zn 2.63
Zn 0.5211 0.7500 0.0448  2 Zn 2.63
Zn 0.8277 0.7500 0.6621  3 Ac 3.11-3.13

A plane-wave DFT calculation with PBE was carried out for crystalline Ac2LaZn2 at its relaxed geometry.

Output
Space-group type: Cmmm (65)
Crystal system: orthorhombic
ΔE_f, kJ per mole of atoms: -14.9
ΔE to the lowest computed polymorph, meV/atom: 0

a b c (Å): 10.9658 10.9658 3.8489
angles (deg): 90.00 90.00 159.52
With the nearest neighbours (Å) after each atom.
Element x y z (fractional)
Ac 0.1706 0.8294 0.0000  4 Zn 3.35, 1 La 3.68
Ac 0.8294 0.1706 0.0000  4 Zn 3.35, 1 La 3.68
La 0.0000 0.0000 0.0000  8 Zn 3.25
Zn 0.4189 0.5811 0.5000  4 La 3.25, 4 Ac 3.35, 1 Zn 3.50
Zn 0.5811 0.4189 0.5000  4 La 3.25, 4 Ac 3.35, 1 Zn 3.50

A plane-wave DFT calculation with PBE was carried out for crystalline Ac2LaZr at its relaxed geometry.

Output
Space-group type: R-3m (166)
Crystal system: trigonal
ΔE_f, kJ per mole of atoms: 44.6

a b c (Å): 12.9421 12.9421 12.9421
angles (deg): 16.13 16.13 16.13
With the nearest neighbours (Å) after each atom.
Element x y z (fractional)
Ac 0.0832 0.0832 0.0832  1 Zr 3.19
Ac 0.9168 0.9168 0.9168  1 Zr 3.19
La 0.5000 0.5000 0.5000  6 La 3.63, 6 Ac 3.82
Zr 0.0000 0.0000 0.0000  2 Ac 3.19

A plane-wave DFT calculation with PBE was carried out for crystalline LiAc3 at its relaxed geometry.

Output
Space-group type: I4/mmm (139)
Crystal system: tetragonal
ΔE_f, kJ per mole of atoms: 13.7
ΔE to the lowest computed polymorph, meV/atom: 75

a b c (Å): 6.6908 6.6908 6.6908
angles (deg): 132.42 132.42 69.57
With the nearest neighbours (Å) after each atom.
Element x y z (fractional)
Li 0.0000 0.0000 0.0000  12 Ac 3.82-3.85
Ac 0.2500 0.7500 0.5000  8 Ac 3.82-3.85, 4 Li 3.85
Ac 0.5000 0.5000 0.0000  4 Li 3.82, 8 Ac 3.85
Ac 0.7500 0.2500 0.5000  8 Ac 3.82-3.85, 4 Li 3.85

A plane-wave DFT calculation with PBE was carried out for crystalline Li2Ac5 at its relaxed geometry.

Output
Space-group type: I4/mmm (139)
Crystal system: tetragonal
ΔE_f, kJ per mole of atoms: 3.0

a b c (Å): 17.2943 17.2943 17.2943
angles (deg): 166.82 166.82 18.68
With the nearest neighbours (Å) after each atom.
Element x y z (fractional)
Li 0.2319 0.2319 0.0000  4 Li 3.07
Li 0.7681 0.7681 0.0000  4 Li 3.07
Ac 0.0839 0.0839 0.0000  12 Ac 3.94-4.01
Ac 0.3352 0.3352 0.0000  5 Li 3.53-3.62, 4 Ac 3.94
Ac 0.5000 0.5000 0.0000  12 Ac 3.97-4.01
Ac 0.6648 0.6648 0.0000  5 Li 3.53-3.62, 4 Ac 3.94
Ac 0.9161 0.9161 0.0000  12 Ac 3.94-4.01

A plane-wave DFT calculation with PBE was carried out for crystalline LiAc3 at its relaxed geometry.

Output
Space-group type: Fm-3m (225)
Crystal system: cubic
ΔE_f, kJ per mole of atoms: 16.1
ΔE to the lowest computed polymorph, meV/atom: 99

a b c (Å): 6.1346 6.1346 6.1346
angles (deg): 60.00 60.00 60.00
With the nearest neighbours (Å) after each atom.
Element x y z (fractional)
Li 0.0000 0.0000 0.0000  8 Ac 3.76
Ac 0.2500 0.2500 0.2500  4 Ac 3.76, 4 Li 3.76
Ac 0.5000 0.5000 0.5000  8 Ac 3.76
Ac 0.7500 0.7500 0.7500  4 Li 3.76, 4 Ac 3.76

A plane-wave DFT calculation with PBE was carried out for crystalline LiAc2 at its relaxed geometry.

Output
Space-group type: Fd-3m (227)
Crystal system: cubic
ΔE_f, kJ per mole of atoms: 48.3
ΔE to the lowest computed polymorph, meV/atom: 446

a b c (Å): 7.3645 7.3645 7.3645
angles (deg): 60.00 60.00 60.00
With the nearest neighbours (Å) after each atom.
Element x y z (fractional)
Li 0.1250 0.1250 0.1250  12 Ac 4.32, 4 Li 4.51
Li 0.8750 0.8750 0.8750  12 Ac 4.32, 4 Li 4.51
Ac 0.0000 0.5000 0.5000  6 Ac 3.68
Ac 0.5000 0.0000 0.5000  6 Ac 3.68
Ac 0.5000 0.5000 0.0000  6 Ac 3.68
Ac 0.5000 0.5000 0.5000  6 Ac 3.68

A plane-wave DFT calculation with PBE was carried out for crystalline Li3Ac at its relaxed geometry.

Output
Space-group type: Fm-3m (225)
Crystal system: cubic
ΔE_f, kJ per mole of atoms: 19.5
ΔE to the lowest computed polymorph, meV/atom: 154

a b c (Å): 5.4517 5.4517 5.4517
angles (deg): 60.00 60.00 60.00
With the nearest neighbours (Å) after each atom.
Element x y z (fractional)
Li 0.0000 0.0000 0.0000  8 Li 3.34
Li 0.2500 0.2500 0.2500  4 Ac 3.34, 4 Li 3.34
Li 0.7500 0.7500 0.7500  4 Li 3.34, 4 Ac 3.34
Ac 0.5000 0.5000 0.5000  8 Li 3.34

A plane-wave DFT calculation with PBE was carried out for crystalline LiAc4 at its relaxed geometry.

Output
Space-group type: Pm-3m (221)
Crystal system: cubic
ΔE_f, kJ per mole of atoms: 29.7

a b c (Å): 5.9573 5.9573 5.9573
angles (deg): 90.00 90.00 90.00
With the nearest neighbours (Å) after each atom.
Element x y z (fractional)
Li 0.0000 0.0000 0.0000  6 Ac 2.98
Ac 0.0000 0.0000 0.5000  2 Li 2.98
Ac 0.0000 0.5000 0.0000  2 Li 2.98
Ac 0.5000 0.0000 0.0000  2 Li 2.98
Ac 0.5000 0.5000 0.5000  12 Ac 4.21

A plane-wave DFT calculation with PBE was carried out for crystalline Li3Ac at its relaxed geometry.

Output
Space-group type: Pm-3m (221)
Crystal system: cubic
ΔE_f, kJ per mole of atoms: 26.1
ΔE to the lowest computed polymorph, meV/atom: 222

a b c (Å): 4.9270 4.9270 4.9270
angles (deg): 90.00 90.00 90.00
With the nearest neighbours (Å) after each atom.
Element x y z (fractional)
Li 0.0000 0.0000 0.5000  4 Ac 3.48, 8 Li 3.48
Li 0.0000 0.5000 0.0000  4 Ac 3.48, 8 Li 3.48
Li 0.5000 0.0000 0.0000  4 Ac 3.48, 8 Li 3.48
Ac 0.5000 0.5000 0.5000  12 Li 3.48

A plane-wave DFT calculation with PBE was carried out for crystalline Li4Ac at its relaxed geometry.

Output
Space-group type: Pm-3m (221)
Crystal system: cubic
ΔE_f, kJ per mole of atoms: 95.3

a b c (Å): 6.1440 6.1440 6.1440
angles (deg): 90.00 90.00 90.00
With the nearest neighbours (Å) after each atom.
Element x y z (fractional)
Li 0.0000 0.0000 0.0000  12 Li 4.34
Li 0.0000 0.5000 0.5000  2 Ac 3.07
Li 0.5000 0.0000 0.5000  2 Ac 3.07
Li 0.5000 0.5000 0.0000  2 Ac 3.07
Ac 0.5000 0.5000 0.5000  6 Li 3.07

A plane-wave DFT calculation with PBE was carried out for crystalline Li2Ac at its relaxed geometry.

Output
Space-group type: Fd-3m (227)
Crystal system: cubic
ΔE_f, kJ per mole of atoms: 6.4
ΔE to the lowest computed polymorph, meV/atom: 0

a b c (Å): 6.2867 6.2867 6.2867
angles (deg): 60.00 60.00 60.00
With the nearest neighbours (Å) after each atom.
Element x y z (fractional)
Li 0.0000 0.0000 0.0000  6 Li 3.14
Li 0.0000 0.0000 0.5000  6 Li 3.14
Li 0.0000 0.5000 0.0000  6 Li 3.14
Li 0.5000 0.0000 0.0000  6 Li 3.14
Ac 0.3750 0.3750 0.3750  12 Li 3.69, 4 Ac 3.85
Ac 0.6250 0.6250 0.6250  12 Li 3.69, 4 Ac 3.85

A plane-wave DFT calculation with PBE was carried out for crystalline Li3Ac at its relaxed geometry.

Output
Space-group type: P4/nmm (129)
Crystal system: tetragonal
ΔE_f, kJ per mole of atoms: 4.6
ΔE to the lowest computed polymorph, meV/atom: 0

a b c (Å): 3.7974 3.7974 15.1292
angles (deg): 90.00 90.00 90.00
With the nearest neighbours (Å) after each atom.
Element x y z (fractional)
Li 0.2500 0.2500 0.0502  10 Li 3.01-3.13
Li 0.2500 0.2500 0.2490  5 Li 3.01-3.03
Li 0.2500 0.2500 0.8437  9 Li 3.03-3.13
Li 0.7500 0.7500 0.1563  9 Li 3.03-3.13
Li 0.7500 0.7500 0.7510  5 Li 3.01-3.03
Li 0.7500 0.7500 0.9498  10 Li 3.01-3.13
Ac 0.2500 0.2500 0.5939  5 Li 3.59-3.78, 8 Ac 3.80-3.91
Ac 0.7500 0.7500 0.4061  5 Li 3.59-3.78, 8 Ac 3.80-3.91

A plane-wave DFT calculation with PBE was carried out for crystalline Li5Ac at its relaxed geometry.

Output
Space-group type: Cmmm (65)
Crystal system: orthorhombic
ΔE_f, kJ per mole of atoms: 12.4
ΔE to the lowest computed polymorph, meV/atom: 18

a b c (Å): 6.1826 6.1826 5.0745
angles (deg): 90.00 90.00 128.76
With the nearest neighbours (Å) after each atom.
Element x y z (fractional)
Li 0.0000 0.0000 0.0000  6 Li 3.15-3.23
Li 0.1790 0.8210 0.5000  4 Li 2.79-3.11
Li 0.2824 0.7176 0.0000  4 Li 2.77-2.79
Li 0.7176 0.2824 0.0000  4 Li 2.77-2.79
Li 0.8210 0.1790 0.5000  4 Li 2.79-3.11
Ac 0.5000 0.5000 0.5000  14 Li 3.34-3.69

A plane-wave DFT calculation with PBE was carried out for crystalline Li5Ac at its relaxed geometry.

Output
Space-group type: Cmmm (65)
Crystal system: orthorhombic
ΔE_f, kJ per mole of atoms: 10.7
ΔE to the lowest computed polymorph, meV/atom: 0

a b c (Å): 8.2550 8.2550 3.6215
angles (deg): 90.00 90.00 141.08
With the nearest neighbours (Å) after each atom.
Element x y z (fractional)
Li 0.0000 0.0000 0.0000  4 Li 3.03, 4 Ac 3.29
Li 0.1559 0.8441 0.5000  4 Li 2.96-3.03
Li 0.3063 0.6937 0.0000  4 Li 2.96-3.26
Li 0.6937 0.3063 0.0000  4 Li 2.96-3.26
Li 0.8441 0.1559 0.5000  4 Li 2.96-3.03
Ac 0.5000 0.5000 0.5000  12 Li 3.29-3.67, 2 Ac 3.62

A plane-wave DFT calculation with PBE was carried out for crystalline Li3Ac at its relaxed geometry.

Output
Space-group type: Pmm2 (25)
Crystal system: orthorhombic
ΔE_f, kJ per mole of atoms: 16.5
ΔE to the lowest computed polymorph, meV/atom: 123

a b c (Å): 3.5913 5.3950 5.9096
angles (deg): 90.00 90.00 90.00
With the nearest neighbours (Å) after each atom.
Element x y z (fractional)
Li 0.0000 0.0000 0.0000  4 Li 2.95-3.15
Li 0.0000 0.5000 0.2754  6 Li 3.15-3.32, 4 Ac 3.44-3.48
Li 0.5000 0.0000 0.3969  2 Li 2.95
Ac 0.5000 0.5000 0.7795  10 Li 3.44-3.52, 2 Ac 3.59

A plane-wave DFT calculation with PBE was carried out for crystalline LiAc at its relaxed geometry.

Output
Space-group type: P2_1/m (11)
Crystal system: monoclinic
ΔE_f, kJ per mole of atoms: 9.7
ΔE to the lowest computed polymorph, meV/atom: 0

a b c (Å): 5.6573 3.8636 6.6528
angles (deg): 90.00 115.16 90.00
With the nearest neighbours (Å) after each atom.
Element x y z (fractional)
Li 0.0758 0.2500 0.1493  2 Li 2.64
Li 0.9242 0.7500 0.8507  2 Li 2.64
Ac 0.3532 0.2500 0.7076  5 Li 3.36-3.53
Ac 0.6468 0.7500 0.2924  5 Li 3.36-3.53

A plane-wave DFT calculation with PBE was carried out for crystalline Li3Ac at its relaxed geometry.

Output
Space-group type: Immm (71)
Crystal system: orthorhombic
ΔE_f, kJ per mole of atoms: 12.4
ΔE to the lowest computed polymorph, meV/atom: 80

a b c (Å): 6.2045 6.2045 6.2045
angles (deg): 144.93 125.20 66.74
With the nearest neighbours (Å) after each atom.
Element x y z (fractional)
Li 0.0000 0.0000 0.0000  4 Li 2.93
Li 0.2173 0.7173 0.5000  2 Li 2.93
Li 0.7827 0.2827 0.5000  2 Li 2.93
Ac 0.5000 0.5000 0.0000  12 Li 3.41-3.64, 2 Ac 3.74

A plane-wave DFT calculation with PBE was carried out for crystalline LiAc2 at its relaxed geometry.

Output
Space-group type: I4/mmm (139)
Crystal system: tetragonal
ΔE_f, kJ per mole of atoms: 5.3
ΔE to the lowest computed polymorph, meV/atom: 0

a b c (Å): 7.4427 7.4427 7.4427
angles (deg): 148.63 148.63 44.95
With the nearest neighbours (Å) after each atom.
Element x y z (fractional)
Li 0.0000 0.0000 0.0000  8 Ac 3.51
Ac 0.3508 0.3508 0.0000  4 Li 3.51
Ac 0.6492 0.6492 0.0000  4 Li 3.51